1.
5
Lattice="-3.583 3.535 -0.981 -2.778 -3.510 -2.501 -2.489 -1.263 4.537" Properties=species:S:1:pos:R:3 comment="TlInPbW2, relaxed, DFT GGA-PBEsol" e_form_ev_per_atom=2.32 magmom_total_mub_per_fu=5.48 sg="P4/mmm (123)" pbc="T T T"
W -1.389 -1.755 -1.251
W -1.791 1.767 -0.491
Tl -1.245 -0.632 2.269
Pb -4.425 -0.619 0.527
In 0.000 0.000 0.000

2.
4
Lattice="-0.020 -2.736 -3.437 2.985 -2.530 1.997 -4.931 0.144 2.721" Properties=species:S:1:pos:R:3 comment="InPb2W, relaxed, DFT GGA-PBEsol" e_form_ev_per_atom=0.96 magmom_total_mub_per_fu=1.23 sg="I-4m2 (119)" pbc="T T T"
Pb -1.734 -2.612 -0.718
Pb 0.000 0.000 0.000
W 1.483 -2.633 -0.720
In -0.232 -2.510 1.999

3.
4
Lattice="-1.779 1.114 2.358 -1.954 -1.934 1.552 6.631 -2.587 8.339" Properties=species:S:1:pos:R:3 comment="InPb2W, relaxed, DFT GGA-PBEsol" e_form_ev_per_atom=0.59 magmom_total_mub_per_fu=0.00 sg="R3m (160)" pbc="T T T"
Pb 1.874 -2.467 8.919
Pb -3.587 -0.863 4.040
W 1.366 -1.679 6.050
In 0.961 -0.921 3.274

4.
4
Lattice="3.095 0.000 0.000 1.548 2.681 0.000 1.548 0.894 10.949" Properties=species:S:1:pos:R:3 comment="In2PbW, relaxed, DFT GGA-PBEsol" e_form_ev_per_atom=0.53 magmom_total_mub_per_fu=0.00 sg="R3m (160)" pbc="T T T"
In 4.643 2.681 8.475
In 4.643 2.681 0.305
Pb 3.095 1.787 5.039
W 1.548 0.894 2.604